Here is a relaxed structure of LiHf3P4 from the Alexandria database. Energies are from PBE-GGA.

Calculated values
calculated density	7.7	g/cm3
DFT total energy	-7.783	eV/atom
ΔH_f (0 K)	-1.1060	eV/atom

a = 6.430 Å, b = 7.425 Å, c = 6.392 Å
α = 90.00°, β = 109.59°, γ = 90.00°
Atoms (fractional coordinates):
Li (0.000, 0.116, 0.250)
Li (0.000, 0.884, 0.750)
Hf (0.000, 0.373, 0.750)
Hf (0.000, 0.627, 0.250)
Hf (0.500, 0.121, 0.750)
Hf (0.500, 0.374, 0.250)
Hf (0.500, 0.626, 0.750)
Hf (0.500, 0.879, 0.250)
P (0.247, 0.372, 0.497)
P (0.247, 0.628, 0.997)
P (0.250, 0.126, 0.000)
P (0.250, 0.874, 0.500)
P (0.750, 0.126, 0.500)
P (0.750, 0.874, 0.000)
P (0.753, 0.372, 0.003)
P (0.753, 0.628, 0.503)



Here is a relaxed structure of Y4MgBr from the Alexandria database. Energies are from PBE-GGA.

Calculated values
calculated density	3.8	g/cm3
raw formation energy	0.2981	eV/atom
DFT total energy	-4.556	eV/atom

a = 6.551 Å, b = 6.551 Å, c = 6.551 Å
α = 60.00°, β = 60.00°, γ = 60.00°
Atoms (fractional coordinates):
Y (0.377, 0.377, 0.377)
Y (0.377, 0.377, 0.869)
Y (0.377, 0.869, 0.377)
Y (0.869, 0.377, 0.377)
Mg (0.750, 0.750, 0.750)
Br (0.000, 0.000, 0.000)



Here is a relaxed structure of AcMg2Zn3 from the Alexandria database. Energies are from PBE-GGA.

Calculated values
calculated density	5.7	g/cm3
DFT total energy	-2.047	eV/atom
ΔH_f (0 K)	-0.1934	eV/atom
polymorph energy (0 for the lowest one)	0.000	eV/atom

a = 6.680 Å, b = 6.680 Å, c = 6.217 Å
α = 90.00°, β = 90.00°, γ = 80.74°
Atoms (fractional coordinates):
Ac (0.182, 0.818, 0.750)
Ac (0.818, 0.182, 0.250)
Mg (0.288, 0.288, 0.000)
Mg (0.288, 0.288, 0.500)
Mg (0.712, 0.712, 0.000)
Mg (0.712, 0.712, 0.500)
Zn (0.056, 0.663, 0.250)
Zn (0.337, 0.944, 0.250)
Zn (0.435, 0.565, 0.250)
Zn (0.565, 0.435, 0.750)
Zn (0.663, 0.056, 0.750)
Zn (0.944, 0.337, 0.750)



Here is a relaxed structure of MnPSeSN from the Alexandria database. Energies are from PBE-GGA.

Calculated values
calculated density	3.3	g/cm3
raw formation energy	0.0122	eV/atom
DFT total energy	-6.091	eV/atom
polymorph energy (0 for the lowest one)	0.132	eV/atom

a = 3.165 Å, b = 6.051 Å, c = 6.189 Å
α = 67.66°, β = 75.22°, γ = 89.80°
Atoms (fractional coordinates):
Mn (0.000, 0.000, 0.000)
P (0.735, 0.944, 0.532)
Se (0.657, 0.249, 0.682)
S (0.458, 0.727, 0.088)
N (0.880, 0.084, 0.240)



Here is a relaxed structure of TmUTc2 from the Alexandria database. Energies are from PBE-GGA.

Calculated values
calculated density	12.9	g/cm3
DFT total energy	-9.323	eV/atom
ΔH_f (0 K)	-0.1999	eV/atom
polymorph energy (0 for the lowest one)	0.000	eV/atom

a = 3.358 Å, b = 3.358 Å, c = 6.886 Å
α = 90.00°, β = 90.00°, γ = 90.00°
Atoms (fractional coordinates):
Tm (0.000, 0.000, 0.000)
U (0.000, 0.000, 0.500)
Tc (0.500, 0.500, 0.289)
Tc (0.500, 0.500, 0.711)



Here is a relaxed structure of Cs12K3Ag5 from the Alexandria database. Energies are from PBE-GGA.

Calculated values
calculated density	2.1	g/cm3
DFT total energy	-1.269	eV/atom
ΔH_f (0 K)	0.1208	eV/atom

a = 20.975 Å, b = 20.975 Å, c = 20.975 Å
α = 109.47°, β = 109.47°, γ = 109.47°
Atoms (fractional coordinates):
Cs (0.018, 0.197, 0.106)
Cs (0.018, 0.321, 0.912)
Cs (0.088, 0.606, 0.409)
Cs (0.088, 0.982, 0.679)
Cs (0.091, 0.697, 0.679)
Cs (0.091, 0.894, 0.412)
Cs (0.106, 0.018, 0.197)
Cs (0.106, 0.588, 0.909)
Cs (0.179, 0.197, 0.591)
Cs (0.179, 0.482, 0.588)
Cs (0.197, 0.106, 0.018)
Cs (0.197, 0.591, 0.179)
Cs (0.303, 0.321, 0.909)
Cs (0.303, 0.482, 0.394)
Cs (0.321, 0.909, 0.303)
Cs (0.321, 0.912, 0.018)
Cs (0.394, 0.303, 0.482)
Cs (0.394, 0.591, 0.912)
Cs (0.409, 0.088, 0.606)
Cs (0.409, 0.821, 0.803)
Cs (0.412, 0.091, 0.894)
Cs (0.412, 0.821, 0.518)
Cs (0.482, 0.394, 0.303)
Cs (0.482, 0.588, 0.179)
Cs (0.518, 0.412, 0.821)
Cs (0.518, 0.606, 0.697)
Cs (0.588, 0.179, 0.482)
Cs (0.588, 0.909, 0.106)
Cs (0.591, 0.179, 0.197)
Cs (0.591, 0.912, 0.394)
Cs (0.606, 0.409, 0.088)
Cs (0.606, 0.697, 0.518)
Cs (0.679, 0.088, 0.982)
Cs (0.679, 0.091, 0.697)
Cs (0.697, 0.518, 0.606)
Cs (0.697, 0.679, 0.091)
Cs (0.803, 0.409, 0.821)
Cs (0.803, 0.894, 0.982)
Cs (0.821, 0.518, 0.412)
Cs (0.821, 0.803, 0.409)
Cs (0.894, 0.412, 0.091)
Cs (0.894, 0.982, 0.803)
Cs (0.909, 0.106, 0.588)
Cs (0.909, 0.303, 0.321)
Cs (0.912, 0.018, 0.321)
Cs (0.912, 0.394, 0.591)
Cs (0.982, 0.679, 0.088)
Cs (0.982, 0.803, 0.894)
K (0.125, 0.250, 0.375)
K (0.125, 0.375, 0.750)
K (0.250, 0.375, 0.125)
K (0.250, 0.875, 0.625)
K (0.375, 0.125, 0.250)
K (0.375, 0.750, 0.125)
K (0.625, 0.250, 0.875)
K (0.625, 0.875, 0.750)
K (0.750, 0.125, 0.375)
K (0.750, 0.625, 0.875)
K (0.875, 0.625, 0.250)
K (0.875, 0.750, 0.625)
Ag (0.000, 0.000, 0.000)
Ag (0.000, 0.000, 0.500)
Ag (0.000, 0.500, 0.000)
Ag (0.000, 0.500, 0.500)
Ag (0.125, 0.750, 0.875)
Ag (0.125, 0.875, 0.250)
Ag (0.250, 0.125, 0.875)
Ag (0.250, 0.625, 0.375)
Ag (0.375, 0.250, 0.625)
Ag (0.375, 0.625, 0.750)
Ag (0.500, 0.000, 0.000)
Ag (0.500, 0.000, 0.500)
Ag (0.500, 0.500, 0.000)
Ag (0.500, 0.500, 0.500)
Ag (0.625, 0.375, 0.250)
Ag (0.625, 0.750, 0.375)
Ag (0.750, 0.375, 0.625)
Ag (0.750, 0.875, 0.125)
Ag (0.875, 0.125, 0.750)
Ag (0.875, 0.250, 0.125)



Here is a relaxed structure of Nd12Dy3Al from the Alexandria database. Energies are from PBE-GGA.

Calculated values
calculated density	7.0	g/cm3
DFT total energy	-4.690	eV/atom
ΔH_f (0 K)	-0.0177	eV/atom

a = 5.072 Å, b = 5.072 Å, c = 20.574 Å
α = 90.00°, β = 90.00°, γ = 90.00°
Atoms (fractional coordinates):
Nd (0.000, 0.000, 0.000)
Nd (0.000, 0.000, 0.245)
Nd (0.000, 0.000, 0.500)
Nd (0.000, 0.000, 0.755)
Nd (0.000, 0.500, 0.117)
Nd (0.000, 0.500, 0.373)
Nd (0.000, 0.500, 0.627)
Nd (0.000, 0.500, 0.883)
Nd (0.500, 0.000, 0.117)
Nd (0.500, 0.000, 0.373)
Nd (0.500, 0.000, 0.627)
Nd (0.500, 0.000, 0.883)
Dy (0.500, 0.500, 0.246)
Dy (0.500, 0.500, 0.500)
Dy (0.500, 0.500, 0.754)
Al (0.500, 0.500, 0.000)



Here is a relaxed structure of CeDy2Hg from the Alexandria database. Energies are from PBE-GGA.

Calculated values
calculated density	10.0	g/cm3
DFT total energy	-3.971	eV/atom
ΔH_f (0 K)	-0.1106	eV/atom
polymorph energy (0 for the lowest one)	0.084	eV/atom

a = 4.867 Å, b = 4.867 Å, c = 4.687 Å
α = 90.00°, β = 90.00°, γ = 90.00°
Atoms (fractional coordinates):
Ce (0.000, 0.000, 0.000)
Dy (0.000, 0.500, 0.500)
Dy (0.500, 0.000, 0.500)
Hg (0.500, 0.500, 0.000)